[1]
# TaAg2Cl | Alexandria via LeMat-Bulk | PBE | relaxed
# energy above the lowest structure with this stoichiometry = 2.65 eV per formula unit
# mass density = 9.24 g/cm3
# energy relative to the elements, uncorrected = 0.698 eV/atom
# total energy = -0.30524 Ry/atom
data_TaAg2Cl
_chemical_formula_sum 'Ta1 Ag2 Cl1'
_cell_length_a 5.157
_cell_length_b 5.157
_cell_length_c 2.921
_cell_angle_alpha 90.00
_cell_angle_beta 90.00
_cell_angle_gamma 90.00
_symmetry_space_group_name_H-M 'P 4/m m m'
_symmetry_Int_Tables_number 123
_symmetry_space_group_name_Hall '-P 4 2'
loop_
_atom_site_label
_atom_site_type_symbol
_atom_site_fract_x
_atom_site_fract_y
_atom_site_fract_z
Ta1 Ta 0.000 0.000 0.000
Ag1 Ag 0.000 0.500 0.500
Cl1 Cl 0.500 0.500 0.000

=====

[2]
# Nd4PuS5 | Alexandria via LeMat-Bulk | PBE | relaxed
# mass density = 6.95 g/cm3
# energy relative to the elements, uncorrected = -1.985 eV/atom
# total energy = -0.54311 Ry/atom
data_Nd4PuS5
_chemical_formula_sum 'Nd8 Pu2 S10'
_cell_length_a 9.051
_cell_length_b 9.051
_cell_length_c 5.725
_cell_angle_alpha 90.00
_cell_angle_beta 90.00
_cell_angle_gamma 90.00
_symmetry_space_group_name_H-M 'I 4/m'
_symmetry_Int_Tables_number 87
_symmetry_space_group_name_Hall '-I 4'
loop_
_atom_site_label
_atom_site_type_symbol
_atom_site_fract_x
_atom_site_fract_y
_atom_site_fract_z
Nd1 Nd 0.096 0.300 0.000
Pu1 Pu 0.000 0.000 0.500
S1 S 0.000 0.000 0.000
S2 S 0.099 0.294 0.500

=====

[3]
# Mn4Pt3Rh | Alexandria via LeMat-Bulk | PBE | relaxed
# E_form = -312 meV/atom
# mass density = 12.58 g/cm3
# total energy = -0.59391 Ry/atom
data_Mn4Pt3Rh
_chemical_formula_sum 'Mn8 Pt6 Rh2'
_cell_length_a 4.429
_cell_length_b 4.429
_cell_length_c 12.222
_cell_angle_alpha 90.00
_cell_angle_beta 90.00
_cell_angle_gamma 90.00
_symmetry_space_group_name_H-M 'I 4/m m m'
_symmetry_Int_Tables_number 139
_symmetry_space_group_name_Hall '-I 4 2'
loop_
_atom_site_label
_atom_site_type_symbol
_atom_site_fract_x
_atom_site_fract_y
_atom_site_fract_z
Mn1 Mn 0.000 0.500 0.124
Pt1 Pt 0.000 0.000 0.000
Pt2 Pt 0.000 0.000 0.251
Rh1 Rh 0.000 0.000 0.500

=====

[4]
# Pr2PuSe2N2 | Alexandria via LeMat-Bulk | PBE | relaxed
# mass density = 8.06 g/cm3
# energy relative to the elements, uncorrected = -1.507 eV/atom
# total energy = -0.60961 Ry/atom
data_Pr2PuSe2N2
_chemical_formula_sum 'Pr4 Pu2 Se4 N4'
_cell_length_a 4.337
_cell_length_b 4.337
_cell_length_c 15.595
_cell_angle_alpha 90.00
_cell_angle_beta 90.00
_cell_angle_gamma 90.00
_symmetry_space_group_name_H-M 'I 4/m m m'
_symmetry_Int_Tables_number 139
_symmetry_space_group_name_Hall '-I 4 2'
loop_
_atom_site_label
_atom_site_type_symbol
_atom_site_fract_x
_atom_site_fract_y
_atom_site_fract_z
Pr1 Pr 0.000 0.000 0.119
Pu1 Pu 0.000 0.000 0.500
Se1 Se 0.000 0.000 0.317
N1 N 0.000 0.500 0.000

=====

[5]
# BeV2Os | Alexandria via LeMat-Bulk | PBE | relaxed
# E_form = 454 meV/atom
# mass density = 9.64 g/cm3
# total energy = -0.57652 Ry/atom
data_BeV2Os
_chemical_formula_sum 'Be4 V8 Os4'
_cell_length_a 6.786
_cell_length_b 6.786
_cell_length_c 4.507
_cell_angle_alpha 90.00
_cell_angle_beta 90.00
_cell_angle_gamma 90.00
_symmetry_space_group_name_H-M 'I -4 2 d'
_symmetry_Int_Tables_number 122
_symmetry_space_group_name_Hall 'I -4 2bw'
loop_
_atom_site_label
_atom_site_type_symbol
_atom_site_fract_x
_atom_site_fract_y
_atom_site_fract_z
Be1 Be 0.000 0.000 0.000
V1 V 0.209 0.250 0.125
Os1 Os 0.000 0.000 0.500

=====

[6]
# CdSnH2 | Alexandria via LeMat-Bulk | PBE | relaxed
# energy above the lowest structure with this stoichiometry = 0.91 eV per formula unit
# mass density = 4.71 g/cm3
# total energy = -0.18958 Ry/atom
data_CdSnH2
_chemical_formula_sum 'Cd1 Sn1 H2'
_cell_length_a 3.841
_cell_length_b 2.954
_cell_length_c 7.240
_cell_angle_alpha 90.00
_cell_angle_beta 90.14
_cell_angle_gamma 90.00
_symmetry_space_group_name_H-M 'P 1 m 1'
_symmetry_Int_Tables_number 6
loop_
_symmetry_equiv_pos_as_xyz
'x,y,z'
'x,-y,z'
loop_
_atom_site_label
_atom_site_type_symbol
_atom_site_fract_x
_atom_site_fract_y
_atom_site_fract_z
Cd1 Cd 0.000 0.000 0.000
Sn1 Sn 0.992 0.000 0.549
H1 H 0.492 0.000 0.576
H2 H 0.992 0.000 0.297